Crystalline CsNb2In at its relaxed geometry. Source: Alexandria, functional PBE.

Unit cell a=4.8818 b=4.8818 c=21.4041 alpha=90.00 beta=90.00 gamma=90.00
Closest atoms and distances in Å follow each position.
Space group I-42d (No. 122)
Unique sites:
Cs  0.0000  0.0000  0.0000  4 In 3.45, 4 Nb 3.59
Nb  0.0792  0.2500  0.6250  2 Nb 2.56
In  0.0000  0.0000  0.5000  4 Nb 2.97

Results
- crystal system = tetragonal
- calculated volume (Å³ per cell) = 510.1
- DFT formation energy (eV per atom) = 1.3157
- D(E_F) (states/eV/f.u.) = 8.4